Below is PmBeZn2Pd4 after structural relaxation, with properties calculated at the PBE level.

Calculated values
- ΔE_f: -583 meV per atom
- V: 16.3 Å³ per atom

Geometry as POSCAR:
```
PmBeZn2Pd4
1.0
2.1780 1.2575 7.9582
-2.1780 1.2575 7.9582
0.0000 -2.5150 7.9582
Pm Be Zn Pd
1 1 2 4
Direct
0.0000 0.0000 0.0000
0.5000 0.5000 0.5000
0.2428 0.2428 0.2428
0.7572 0.7572 0.7572
0.1336 0.1336 0.1336
0.4046 0.4046 0.4046
0.5954 0.5954 0.5954
0.8664 0.8664 0.8664
```

=====

Below is NaAsNF2 after structural relaxation, with properties calculated at the PBE level.

Calculated values
- Relative energy among the computed polymorphs: 982.6 meV/atom
- Formation energy (no corrections): -0.02 eV/atom
- V: 13.7 Å³ per atom

Geometry as POSCAR:
```
NaAsNF2
1.0
3.9042 0.0000 0.0000
0.0000 3.9042 0.0000
0.0000 0.0000 4.4930
Na As N F
1 1 1 2
Direct
0.0000 0.0000 0.0000
0.5000 0.5000 0.5000
0.0000 0.0000 0.5000
0.0000 0.5000 0.0000
0.5000 0.0000 0.0000
```

=====

Below is CoAu2 after structural relaxation, with properties calculated at the PBE level.

Calculated values
- ΔE_f: 658 meV per atom
- V: 18.3 Å³ per atom

Geometry as POSCAR:
```
CoAu2
1.0
0.0000 3.8037 3.8037
3.8037 0.0000 3.8037
3.8037 3.8037 0.0000
Co Au
2 4
Direct
0.1250 0.1250 0.1250
0.8750 0.8750 0.8750
0.0000 0.5000 0.5000
0.5000 0.0000 0.5000
0.5000 0.5000 0.0000
0.5000 0.5000 0.5000
```

=====

Taking the records one at a time from the top gives total magnetization values of 0.0 1.0 2.1 μB/f.u..